# 1
A plane-wave DFT calculation with GGA-PBE was carried out for an optimized crystal structure of Cu3SbPd4.

Output
- Magnetization: 0.000 μB/cell
- Electronic total energy: -78.3 eV/cell
- Formation energy from raw total energies: -0.248 eV per atom

Structure (POSCAR):
```
Cu3SbPd4
1.0
-2.888 -2.354 2.693
4.426 -2.802 2.297
0.734 6.367 6.352
Sb Pd Cu
2 8 6
Direct
0.000 0.500 0.000 Sb
0.000 0.500 0.500 Sb
0.500 0.755 0.000 Pd
0.500 0.755 0.500 Pd
0.500 0.245 0.000 Pd
0.500 0.245 0.500 Pd
0.098 0.754 0.750 Pd
0.902 0.754 0.250 Pd
0.902 0.246 0.250 Pd
0.098 0.246 0.750 Pd
0.000 0.000 0.000 Cu
0.000 0.000 0.500 Cu
0.602 0.000 0.750 Cu
0.398 0.000 0.250 Cu
0.589 0.500 0.750 Cu
0.411 0.500 0.250 Cu
```

***

# 2
A plane-wave DFT calculation with GGA-PBE was carried out for an optimized crystal structure of CuSb2Pd.

Output
- Magnetization: 0.000 μB/cell
- Electronic total energy: -17.5 eV/cell
- Formation energy from raw total energies: 0.006 eV per atom

Structure (POSCAR):
```
CuSb2Pd
1.0
0.858 3.157 3.541
-3.405 0.919 3.288
0.545 -1.551 4.533
Sb Cu Pd
2 1 1
Direct
0.250 0.250 0.250 Sb
0.750 0.750 0.750 Sb
0.000 0.000 0.000 Cu
0.500 0.500 0.500 Pd
```

***

# 3
A plane-wave DFT calculation with GGA-PBE was carried out for an optimized crystal structure of Cu2SbPd2.

Output
- Magnetization: 0.000 μB/cell
- Electronic total energy: -46.2 eV/cell
- Formation energy from raw total energies: -0.083 eV per atom

Structure (POSCAR):
```
Cu2SbPd2
1.0
7.133 0.000 0.000
0.000 7.133 0.000
0.000 0.000 3.166
Sb Cu Pd
2 4 4
Direct
0.000 0.000 0.000 Sb
0.500 0.500 0.000 Sb
0.149 0.649 0.500 Cu
0.649 0.851 0.500 Cu
0.851 0.351 0.500 Cu
0.351 0.149 0.500 Cu
0.355 0.855 0.000 Pd
0.855 0.645 0.000 Pd
0.645 0.145 0.000 Pd
0.145 0.355 0.000 Pd
```

***

# 4
A plane-wave DFT calculation with GGA-PBE was carried out for an optimized crystal structure of CuSb4Pd15.

Output
- Magnetization: 0.000 μB/cell
- Electronic total energy: -105.1 eV/cell
- Formation energy from raw total energies: -0.330 eV per atom

Structure (POSCAR):
```
CuSb4Pd15
1.0
4.046 0.000 0.000
0.000 4.046 0.000
0.000 0.000 19.958
Cu Sb Pd
1 4 15
Direct
0.000 0.000 0.000 Cu
0.000 0.000 0.186 Sb
0.000 0.000 0.396 Sb
0.000 0.000 0.604 Sb
0.000 0.000 0.814 Sb
0.500 0.500 0.000 Pd
0.500 0.500 0.199 Pd
0.500 0.500 0.400 Pd
0.500 0.500 0.600 Pd
0.500 0.500 0.801 Pd
0.500 0.000 0.094 Pd
0.500 0.000 0.298 Pd
0.500 0.000 0.500 Pd
0.500 0.000 0.702 Pd
0.500 0.000 0.906 Pd
0.000 0.500 0.094 Pd
0.000 0.500 0.298 Pd
0.000 0.500 0.500 Pd
0.000 0.500 0.702 Pd
0.000 0.500 0.906 Pd
```

***

# 5
A plane-wave DFT calculation with GGA-PBE was carried out for an optimized crystal structure of CuSb6Pd12.

Output
- Magnetization: 0.000 μB/cell
- Electronic total energy: -97.7 eV/cell
- Formation energy from raw total energies: -0.344 eV per atom

Structure (POSCAR):
```
CuSb6Pd12
1.0
-6.882 0.822 -2.620
-0.033 -6.240 3.996
1.066 5.537 4.807
Cu Sb Pd
1 6 12
Direct
0.000 0.000 0.000 Cu
0.783 0.911 0.525 Sb
0.475 0.217 0.089 Sb
0.089 0.475 0.217 Sb
0.217 0.089 0.475 Sb
0.525 0.783 0.911 Sb
0.911 0.525 0.783 Sb
0.814 0.528 0.407 Pd
0.407 0.814 0.528 Pd
0.528 0.407 0.814 Pd
0.186 0.472 0.593 Pd
0.593 0.186 0.472 Pd
0.472 0.593 0.186 Pd
0.881 0.727 0.144 Pd
0.273 0.856 0.119 Pd
0.856 0.119 0.273 Pd
0.119 0.273 0.856 Pd
0.727 0.144 0.881 Pd
0.144 0.881 0.727 Pd
```

***

# 6
A plane-wave DFT calculation with GGA-PBE was carried out for an optimized crystal structure of CuSbPd.

Output
- Magnetization: 0.000 μB/cell
- Electronic total energy: -13.9 eV/cell
- Formation energy from raw total energies: -0.166 eV per atom

Structure (POSCAR):
```
CuSbPd
1.0
4.337 0.000 0.000
2.168 3.756 0.000
2.168 1.252 3.541
Sb Cu Pd
1 1 1
Direct
0.000 0.000 0.000 Sb
0.500 0.500 0.500 Cu
0.250 0.250 0.250 Pd
```

***

# 7
A plane-wave DFT calculation with GGA-PBE was carried out for an optimized crystal structure of CuSb2Pd.

Output
- Magnetization: 0.000 μB/cell
- Electronic total energy: -34.1 eV/cell
- Formation energy from raw total energies: 0.117 eV per atom

Structure (POSCAR):
```
CuSb2Pd
1.0
6.545 0.000 0.000
0.000 6.545 0.000
3.273 3.273 4.635
Sb Cu Pd
4 2 2
Direct
0.619 0.125 0.250 Sb
0.131 0.625 0.250 Sb
0.375 0.381 0.750 Sb
0.875 0.869 0.750 Sb
0.500 0.500 0.000 Cu
0.250 0.750 0.500 Cu
0.000 0.000 0.000 Pd
0.750 0.250 0.500 Pd
```

***

# 8
A plane-wave DFT calculation with GGA-PBE was carried out for an optimized crystal structure of Cu2Sb5Pd12.

Output
- Magnetization: 0.000 μB/cell
- Electronic total energy: -95.4 eV/cell
- Formation energy from raw total energies: -0.228 eV per atom

Structure (POSCAR):
```
Cu2Sb5Pd12
1.0
5.523 0.000 0.000
-2.762 7.408 0.039
0.000 -2.624 8.752
Cu Sb Pd
2 5 12
Direct
0.775 0.000 0.000 Cu
0.225 0.000 0.000 Cu
0.322 0.643 0.663 Sb
0.350 0.701 0.150 Sb
0.000 0.000 0.500 Sb
0.650 0.299 0.850 Sb
0.678 0.357 0.337 Sb
0.090 0.181 0.282 Pd
0.056 0.626 0.900 Pd
0.570 0.626 0.900 Pd
0.091 0.676 0.406 Pd
0.584 0.676 0.406 Pd
0.491 0.982 0.648 Pd
0.509 0.018 0.352 Pd
0.909 0.324 0.594 Pd
0.416 0.324 0.594 Pd
0.944 0.374 0.100 Pd
0.430 0.374 0.100 Pd
0.910 0.819 0.718 Pd
```